A plane-wave DFT calculation with SCAN was carried out for NaBiTe3 at its PBEsol-relaxed geometry.

```
NaBiTe3
1.0
5.376 0.000 0.000
0.000 5.376 0.000
0.000 0.000 5.376
Na Bi Te
1 1 3
direct
0.000 0.000 0.000
0.500 0.500 0.500
0.000 0.000 0.500
0.000 0.500 0.000
0.500 0.000 0.000
```

- E_form (uncorrected) (eV/atom) = 0.566
- SG = Pm-3m
- volume (Å³/f.u.) = 155.41

***

A plane-wave DFT calculation with SCAN was carried out for Na2BiTe2 at its PBEsol-relaxed geometry.

```
Na2BiTe2
1.0
-2.141 2.141 7.874
2.141 -2.141 7.874
2.141 2.141 -7.874
Na Bi Te
2 1 2
direct
0.250 0.750 0.500
0.750 0.250 0.500
0.000 0.000 0.000
0.390 0.390 0.000
0.610 0.610 0.000
```

- E_form (uncorrected) (eV/atom) = -0.219
- SG = I4/mmm
- volume (Å³/f.u.) = 144.40

***

A plane-wave DFT calculation with SCAN was carried out for NaTiBi2Te at its PBEsol-relaxed geometry.

```
NaTiBi2Te
1.0
5.338 0.000 0.000
0.000 5.338 0.000
0.000 0.000 5.142
Na Ti Bi Te
1 1 2 1
direct
0.000 0.000 0.000
0.000 0.000 0.500
0.000 0.500 0.000
0.500 0.000 0.000
0.500 0.500 0.500
```

- E_form (uncorrected) (eV/atom) = 0.885
- SG = P4/mmm
- volume (Å³/f.u.) = 146.51